Here is a relaxed structure of GaTcPd from the Alexandria database. Energies are from GGA-PBE.

Unit cell a=2.781 b=15.796 c=4.087 alpha=90.00 beta=90.00 gamma=90.00
Space group Cmcm (No. 63)
Asymmetric unit:
Ga 0.000 0.053 0.250 x4
Tc 0.000 0.216 0.250 x4
Pd 0.000 0.392 0.250 x4

Properties
Theoretical density (g/cm3): 10.1
Formation enthalpy at 0 K (eV/atom): -0.14
Magnetization (μB per formula unit): 0.00
DOS(E_F) (states/eV/atom): 0.891


Here is a relaxed structure of CsPmPO4 from the Alexandria database. Energies are from GGA-PBE.

Unit cell a=5.231 b=6.081 c=8.143 alpha=90.00 beta=103.63 gamma=90.00
Space group P2_1/m (No. 11)
Asymmetric unit:
Cs 0.229 0.250 0.100 x2
Pm 0.117 0.750 0.486 x2
P 0.421 0.250 0.688 x2
O 0.268 0.042 0.727 x4
O 0.283 0.750 0.224 x2
O 0.396 0.250 0.491 x2

Properties
Theoretical density (g/cm3): 4.9
Magnetization (μB per formula unit): 0.00
DOS(E_F) (states/eV/atom): 0.175
Raw formation energy (eV/atom): -2.3758


Here is a relaxed structure of Li4Tl from the Alexandria database. Energies are from GGA-PBE.

Unit cell a=5.193 b=5.193 c=5.193 alpha=90.00 beta=90.00 gamma=90.00
Space group Pm-3m (No. 221)
Asymmetric unit:
Li 0.000 0.000 0.000 x1
Li 0.000 0.500 0.500 x3
Tl 0.500 0.500 0.500 x1

Properties
Theoretical density (g/cm3): 2.8
Formation enthalpy at 0 K (eV/atom): 0.14
Magnetization (μB per formula unit): 0.00
Polymorph energy (0 for the lowest one) (meV per atom): 334
DOS(E_F) (states/eV/atom): 0.633


Here is a relaxed structure of BeSiTe from the Alexandria database. Energies are from GGA-PBE.

Unit cell a=6.012 b=3.938 c=6.144 alpha=90.00 beta=91.39 gamma=90.00
Space group P2_1/m (No. 11)
Asymmetric unit:
Be 0.118 0.250 0.213 x2
Si 0.394 0.250 0.457 x2
Te 0.127 0.250 0.794 x2

Properties
Theoretical density (g/cm3): 3.8
Magnetization (μB per formula unit): 0.00
Polymorph energy (0 for the lowest one) (meV per atom): 89
Raw formation energy (eV/atom): 0.0401


Here is a relaxed structure of Sm3Ho7Er from the Alexandria database. Energies are from GGA-PBE.

Unit cell a=7.0320 b=7.0320 c=8.6098 alpha=90.00 beta=90.00 gamma=120.00
Space group P3m1 (No. 156)
Asymmetric unit:
Sm 0.0001 0.5000 0.0000 x3
Ho 0.1676 0.3352 0.6630 x3
Ho 0.3351 0.1676 0.3366 x3
Ho 0.6667 0.3333 0.6617 x1
Er 0.3333 0.6667 0.3382 x1

Properties
Theoretical density (g/cm3): 8.0
Formation enthalpy at 0 K (eV/atom): 0.18
Magnetization (μB per formula unit): 0.00
Polymorph energy (0 for the lowest one) (meV per atom): 31
DOS(E_F) (states/eV/atom): 1.516


Here is a relaxed structure of SrMoSe2 from the Alexandria database. Energies are from GGA-PBE.

Unit cell a=4.371 b=5.113 c=5.175 alpha=90.00 beta=99.81 gamma=90.00
Space group Pm (No. 6)
Asymmetric unit:
Sr 0.000 0.000 0.000 x1
Mo 0.510 0.500 0.456 x1
Se 0.378 0.500 0.934 x1
Se 0.633 0.000 0.446 x1

Properties
Theoretical density (g/cm3): 5.0
Magnetization (μB per formula unit): 4.00
Polymorph energy (0 for the lowest one) (meV per atom): 186
DOS(E_F) (states/eV/atom): 0.058
Raw formation energy (eV/atom): -0.5980


Here is a relaxed structure of VSnPPt2 from the Alexandria database. Energies are from GGA-PBE.

Unit cell a=4.884 b=4.884 c=4.961 alpha=90.00 beta=90.00 gamma=90.00
Space group P4/mmm (No. 123)
Asymmetric unit:
V 0.000 0.000 0.000 x1
Sn 0.000 0.000 0.500 x1
P 0.500 0.500 0.000 x1
Pt 0.000 0.500 0.500 x2

Properties
Theoretical density (g/cm3): 8.3
Formation enthalpy at 0 K (eV/atom): 1.44
Magnetization (μB per formula unit): 0.08
DOS(E_F) (states/eV/atom): 1.444


Here is a relaxed structure of PrNd2Y from the Alexandria database. Energies are from GGA-PBE.

Unit cell a=5.704 b=3.608 c=13.534 alpha=90.00 beta=90.00 gamma=90.00
Space group Amm2 (No. 38)
Asymmetric unit:
Pr 0.000 0.000 0.000 x2
Nd 0.000 0.000 0.255 x2
Nd 0.500 0.000 0.380 x2
Y 0.500 0.000 0.641 x2

Properties
Theoretical density (g/cm3): 6.2
Formation enthalpy at 0 K (eV/atom): 0.04
Magnetization (μB per formula unit): 0.00
Polymorph energy (0 for the lowest one) (meV per atom): 33
DOS(E_F) (states/eV/atom): 1.463